[1]
BiAs2Os4 after structural relaxation, computed with PBE.

Cell and atoms, written as POSCAR:
```
BiAs2Os4
1.0
-1.115 0.126 4.191
3.281 -2.674 0.954
3.761 4.918 0.852
Os As Bi
4 2 1
Cartesian
2.683 0.026 0.713
0.485 1.427 2.332
4.359 2.218 1.093
2.161 3.618 2.712
1.083 -1.274 2.572
1.881 2.459 0.426
0.000 0.000 0.000
```

Values from the calculation:
As for the symmetry: P4/mmm. The value obtained for the volume is 16.805 Å³ per atom. The calculation puts the raw total energy at -51.79 eV/f.u. The density is 15.8 g cm⁻³. Its crystal system is tetragonal.



[2]
Zr4BiAs2P after structural relaxation, computed with PBE.

Cell and atoms, written as POSCAR:
```
Zr4BiAs2P
1.0
3.856 0.000 0.000
-1.928 3.339 0.000
0.000 0.000 13.385
As Zr Bi P
2 4 1 1
Cartesian
1.928 1.113 3.162
1.928 1.113 10.222
0.000 0.000 1.638
0.000 2.226 4.626
0.000 2.226 8.759
0.000 0.000 11.747
0.000 0.000 6.692
0.000 2.226 0.000
```

Values from the calculation:
As for the symmetry: P-6m2. The value obtained for the volume is 21.542 Å³ per atom. The calculation puts the raw total energy at -60.93 eV/f.u. The density is 7.3 g cm⁻³. Its crystal system is hexagonal.



[3]
Zr4BiAsP2 after structural relaxation, computed with PBE.

Cell and atoms, written as POSCAR:
```
Zr4BiAsP2
1.0
3.807 0.000 0.000
-1.904 3.297 0.000
0.000 0.000 13.299
Zr P Bi As
4 2 1 1
Cartesian
1.904 1.099 8.756
1.904 1.099 4.544
0.000 2.198 11.537
0.000 2.198 1.762
0.000 0.000 10.120
0.000 0.000 3.179
0.000 2.198 6.650
1.904 1.099 0.000
```

Values from the calculation:
As for the symmetry: P-6m2. The value obtained for the volume is 20.870 Å³ per atom. The calculation puts the raw total energy at -62.89 eV/f.u. The density is 7.1 g cm⁻³. Its crystal system is hexagonal.



[4]
Zr4Bi2AsP after structural relaxation, computed with PBE.

Cell and atoms, written as POSCAR:
```
Zr4Bi2AsP
1.0
-0.325 0.017 3.901
2.298 -2.634 -1.761
10.592 8.674 0.844
Bi Zr P As
2 4 1 1
Cartesian
9.328 4.722 0.756
3.237 1.334 2.228
10.025 6.893 2.768
5.701 1.752 0.467
6.864 4.305 2.517
2.540 -0.836 0.215
5.296 4.337 0.422
0.000 0.000 0.000
```

Values from the calculation:
As for the symmetry: P-3m1. The value obtained for the volume is 22.748 Å³ per atom. The calculation puts the raw total energy at -59.53 eV/f.u. The density is 8.1 g cm⁻³. Its crystal system is trigonal.